Record 1
# Hf3P

An optimized crystal structure of Hf3P (PBEsol, the Alexandria database).

Calculated values
ΔE_f, meV per atom: -857

a b c (Å): 10.570 10.570 5.246
angles (deg): 90.00 90.00 90.00
Space group P4_2/n (No. 86, origin choice 2)
Symmetry-distinct sites (fractional):
Hf 0.034 0.570 0.238
Hf 0.112 0.223 0.029
Hf 0.143 0.666 0.717
P 0.044 0.210 0.536

Record 2
# NiAgPb2

An optimized crystal structure of NiAgPb2 (PBEsol, the Alexandria database).

Calculated values
ΔE_f, meV per atom: 495
ΔE to the lowest computed polymorph, meV/atom: 313.5

a b c (Å): 6.958 6.958 6.958
angles (deg): 90.00 90.00 90.00
Space group F-43m (No. 216)
Symmetry-distinct sites (fractional):
Ni 0.000 0.000 0.000
Ag 0.250 0.250 0.250
Pb 0.000 0.000 0.500
Pb 0.250 0.250 0.750

Record 3
# KCrS2O8

An optimized crystal structure of KCrS2O8 (PBEsol, the Alexandria database).

Calculated values
ΔE to the lowest computed polymorph, meV/atom: 45.2
Formation energy from raw total energies, eV per formula unit: -19.6

a b c (Å): 5.0380 5.0380 7.6310
angles (deg): 90.00 90.00 120.00
Space group P321 (No. 150)
Symmetry-distinct sites (fractional):
K 0.0000 0.0000 0.0000
Cr 0.0000 0.0000 0.5000
S 0.3333 0.6667 0.2768
O 0.1421 0.7951 0.3406
O 0.3333 0.6667 0.0867

Record 4
# AlV12Sn3

An optimized crystal structure of AlV12Sn3 (PBEsol, the Alexandria database).

Calculated values
ΔE_f, meV per atom: -108

a b c (Å): 4.860 4.880 9.697
angles (deg): 90.00 90.00 90.00
Space group Pmmm (No. 47)
Symmetry-distinct sites (fractional):
Al 0.000 0.000 0.000
V 0.000 0.244 0.241
V 0.230 0.500 0.000
V 0.253 0.500 0.500
V 0.500 0.000 0.118
V 0.500 0.000 0.373
Sn 0.000 0.000 0.500
Sn 0.500 0.500 0.248

Record 5
# BaSb2Pb2

An optimized crystal structure of BaSb2Pb2 (PBEsol, the Alexandria database).

Calculated values
Formation energy from raw total energies, eV per formula unit: -1.9

a b c (Å): 4.705 4.705 15.248
angles (deg): 90.00 90.00 90.00
Space group I4/mmm (No. 139)
Symmetry-distinct sites (fractional):
Ba 0.000 0.000 0.000
Sb 0.000 0.000 0.405
Pb 0.000 0.500 0.250

Record 6
# LiAl2Mo

An optimized crystal structure of LiAl2Mo (PBEsol, the Alexandria database).

Calculated values
ΔE_f, meV per atom: -162
ΔE to the lowest computed polymorph, meV/atom: 0.0

a b c (Å): 6.123 6.747 2.844
angles (deg): 90.00 90.00 90.00
Space group Cmmm (No. 65)
Symmetry-distinct sites (fractional):
Li 0.000 0.000 0.000
Al 0.250 0.250 0.500
Mo 0.000 0.500 0.000

Record 7
# ScBr2F

An optimized crystal structure of ScBr2F (PBEsol, the Alexandria database).

Calculated values
Formation energy from raw total energies, eV per formula unit: -5.8

a b c (Å): 3.7173 3.7173 23.4049
angles (deg): 90.00 90.00 120.00
Space group R-3m (No. 166, hexagonal axes)
Symmetry-distinct sites (fractional):
Sc 0.0000 0.0000 0.0000
Br 0.0000 0.0000 0.4011
F 0.0000 0.0000 0.5000

Record 8
# FePBrCl2

An optimized crystal structure of FePBrCl2 (PBEsol, the Alexandria database).

Calculated values
Formation energy from raw total energies, eV per formula unit: 6.2

a b c (Å): 5.037 5.037 4.923
angles (deg): 90.00 90.00 90.00
Space group P4/mmm (No. 123)
Symmetry-distinct sites (fractional):
Fe 0.000 0.000 0.000
P 0.500 0.500 0.000
Br 0.500 0.500 0.500
Cl 0.000 0.500 0.500